DFT (GGA+U) results for a geometry-optimized DyCrBi2O6 structure.

Unit cell a=5.594 b=6.003 c=9.872 alpha=90.00 beta=124.35 gamma=90.00
Element x y z (fractional)
Dy (0.000, 0.000, 0.000)
Dy (0.000, 0.500, 0.500)
Cr (0.500, 0.000, 0.500)
Cr (0.500, 0.500, 0.000)
Bi (0.232, 0.044, 0.744)
Bi (0.232, 0.456, 0.244)
Bi (0.768, 0.544, 0.756)
Bi (0.768, 0.956, 0.256)
O (0.142, 0.174, 0.450)
O (0.142, 0.326, 0.950)
O (0.270, 0.705, 0.438)
O (0.270, 0.795, 0.938)
O (0.385, 0.045, 0.265)
O (0.385, 0.455, 0.765)
O (0.615, 0.545, 0.235)
O (0.615, 0.955, 0.735)
O (0.730, 0.205, 0.062)
O (0.730, 0.295, 0.562)
O (0.858, 0.674, 0.050)
O (0.858, 0.826, 0.550)

Energy, eV/cell: -138.300
D(E_F), states/eV per atom: 0.00
Total magnetization, μB/cell: 5.99

***

DFT (GGA+U) results for a geometry-optimized DyCr2BiO6 structure.

Unit cell a=5.562 b=5.562 c=5.562 alpha=59.70 beta=59.70 gamma=59.70
Element x y z (fractional)
Dy (0.000, 0.000, 0.000)
Cr (0.225, 0.225, 0.225)
Cr (0.725, 0.725, 0.725)
Bi (0.498, 0.498, 0.498)
O (0.053, 0.448, 0.893)
O (0.375, 0.947, 0.571)
O (0.448, 0.893, 0.053)
O (0.571, 0.375, 0.947)
O (0.893, 0.053, 0.448)
O (0.947, 0.571, 0.375)

Energy, eV/cell: -74.850
D(E_F), states/eV per atom: 0.00
Total magnetization, μB/cell: 6.00

***

DFT (GGA+U) results for a geometry-optimized ErCrBi2O6 structure.

Unit cell a=5.908 b=5.908 c=5.908 alpha=58.73 beta=58.73 gamma=58.73
Element x y z (fractional)
Er (0.000, 0.000, 0.000)
Cr (0.490, 0.490, 0.490)
Bi (0.279, 0.279, 0.279)
Bi (0.782, 0.782, 0.782)
O (0.161, 0.345, 0.693)
O (0.217, 0.821, 0.642)
O (0.345, 0.693, 0.161)
O (0.642, 0.217, 0.821)
O (0.693, 0.161, 0.345)
O (0.821, 0.642, 0.217)

Energy, eV/cell: -69.272
D(E_F), states/eV per atom: 0.00
Total magnetization, μB/cell: 3.00

***

DFT (GGA+U) results for a geometry-optimized ErCr2BiO8 structure.

Unit cell a=6.118 b=6.118 c=6.118 alpha=105.95 beta=105.95 gamma=116.77
Element x y z (fractional)
Er (0.000, 0.000, 0.000)
Cr (0.500, 0.500, 0.000)
Cr (0.750, 0.250, 0.500)
Bi (0.250, 0.750, 0.500)
O (0.163, 0.338, 0.825)
O (0.324, 0.009, 0.315)
O (0.513, 0.338, 0.175)
O (0.662, 0.487, 0.825)
O (0.662, 0.837, 0.175)
O (0.695, 0.009, 0.685)
O (0.991, 0.305, 0.315)
O (0.991, 0.676, 0.685)

Energy, eV/cell: -81.548
D(E_F), states/eV per atom: 0.07
Total magnetization, μB/cell: 1.99

***

Copy entry 4 word for word.
DFT (GGA+U) results for a geometry-optimized ErCr2BiO8 structure.

Unit cell a=6.118 b=6.118 c=6.118 alpha=105.95 beta=105.95 gamma=116.77
Element x y z (fractional)
Er (0.000, 0.000, 0.000)
Cr (0.500, 0.500, 0.000)
Cr (0.750, 0.250, 0.500)
Bi (0.250, 0.750, 0.500)
O (0.163, 0.338, 0.825)
O (0.324, 0.009, 0.315)
O (0.513, 0.338, 0.175)
O (0.662, 0.487, 0.825)
O (0.662, 0.837, 0.175)
O (0.695, 0.009, 0.685)
O (0.991, 0.305, 0.315)
O (0.991, 0.676, 0.685)

Energy, eV/cell: -81.548
D(E_F), states/eV per atom: 0.07
Total magnetization, μB/cell: 1.99

***

- Look up the D(E_F) of the third one.
  0.00 states/eV per atom

***

What did the first record say?
DFT (GGA+U) results for a geometry-optimized DyCrBi2O6 structure.

Unit cell a=5.594 b=6.003 c=9.872 alpha=90.00 beta=124.35 gamma=90.00
Element x y z (fractional)
Dy (0.000, 0.000, 0.000)
Dy (0.000, 0.500, 0.500)
Cr (0.500, 0.000, 0.500)
Cr (0.500, 0.500, 0.000)
Bi (0.232, 0.044, 0.744)
Bi (0.232, 0.456, 0.244)
Bi (0.768, 0.544, 0.756)
Bi (0.768, 0.956, 0.256)
O (0.142, 0.174, 0.450)
O (0.142, 0.326, 0.950)
O (0.270, 0.705, 0.438)
O (0.270, 0.795, 0.938)
O (0.385, 0.045, 0.265)
O (0.385, 0.455, 0.765)
O (0.615, 0.545, 0.235)
O (0.615, 0.955, 0.735)
O (0.730, 0.205, 0.062)
O (0.730, 0.295, 0.562)
O (0.858, 0.674, 0.050)
O (0.858, 0.826, 0.550)

Energy, eV/cell: -138.300
D(E_F), states/eV per atom: 0.00
Total magnetization, μB/cell: 5.99

***

- Look up the energy of the fourth one.
  -81.548 eV/cell